Compound: Tl2VSnF
Source: the Alexandria database
Functional: PBE with a Hubbard U
Structure: relaxed

Output
Symmetry: P4/mmm
Theoretical density: 7.61 g cm⁻³
Uncorrected energy: -3.885 eV per atom

a = 5.768 Å, b = 5.768 Å, c = 3.918 Å
α = 90.00°, β = 90.00°, γ = 90.00°
Element x y z (fractional)
1 Tl 0.000 0.500 0.000
2 Tl 0.500 0.000 0.000
3 V 0.000 0.000 0.000
4 Sn 0.500 0.500 0.500
5 F 0.000 0.000 0.500